Entry 1:
The following is a GGA-PBE calculation of an optimized crystal structure of TlIn2Fe, from the Alexandria database.

```
TlIn2Fe
1.0
3.130 0.000 0.000
0.000 3.130 0.000
0.000 0.000 9.295
In Tl Fe
2 1 1
Direct
0.500 0.500 0.240 In
0.000 0.000 0.952 In
0.000 0.000 0.546 Tl
0.500 0.500 0.762 Fe
```

The spin magnetization is 0.645 μB per atom. For the volume, the calculation gives 22.759 Å³/atom. The calculation puts the energy of formation at 1.33 eV/f.u. As for the space group: P4mm. The calculation puts the total DFT energy (no corrections) at -3.744 eV/atom. Its density is 8.935 g cm⁻³.

=====

Entry 2:
The following is a GGA-PBE calculation of an optimized crystal structure of TlIn2Fe2, from the Alexandria database.

```
TlIn2Fe2
1.0
7.071 0.000 0.000
0.000 7.071 0.000
0.000 0.000 3.833
Tl In Fe
2 4 4
Direct
0.500 0.500 0.000 Tl
0.000 0.000 0.000 Tl
0.835 0.335 0.500 In
0.165 0.665 0.500 In
0.665 0.835 0.500 In
0.335 0.165 0.500 In
0.379 0.879 0.000 Fe
0.621 0.121 0.000 Fe
0.121 0.379 0.000 Fe
0.879 0.621 0.000 Fe
```

The spin magnetization is 0.866 μB per atom. For the volume, the calculation gives 19.165 Å³/atom. The calculation puts the energy of formation at 1.65 eV/f.u. As for the space group: P4/mbm. The calculation puts the total DFT energy (no corrections) at -4.624 eV/atom. Its density is 9.457 g cm⁻³.

=====

Entry 3:
The following is a GGA-PBE calculation of an optimized crystal structure of TlInFe2, from the Alexandria database.

```
TlInFe2
1.0
-6.673 5.902 1.886
-7.243 3.724 4.073
-5.111 5.964 4.607
Tl Fe In
1 2 1
Direct
0.740 0.740 0.740 Tl
0.261 0.261 0.261 Fe
0.986 0.986 0.986 Fe
0.513 0.513 0.513 In
```

The spin magnetization is 1.280 μB per atom. For the volume, the calculation gives 19.027 Å³/atom. The calculation puts the energy of formation at 1.73 eV/f.u. As for the space group: R3m. The calculation puts the total DFT energy (no corrections) at -5.074 eV/atom. Its density is 9.401 g cm⁻³.

=====

Entry 4:
The following is a GGA-PBE calculation of an optimized crystal structure of TlInFe2, from the Alexandria database.

```
TlInFe2
1.0
-1.608 -1.297 -3.427
0.079 -3.353 1.232
-4.660 -0.936 2.541
In Fe Tl
1 2 1
Direct
0.000 0.486 0.420 In
0.500 0.061 0.263 Fe
0.000 0.184 0.996 Fe
0.500 0.769 0.820 Tl
```

The spin magnetization is 1.168 μB per atom. For the volume, the calculation gives 18.334 Å³/atom. The calculation puts the energy of formation at 1.82 eV/f.u. As for the space group: Pm. The calculation puts the total DFT energy (no corrections) at -5.052 eV/atom. Its density is 9.757 g cm⁻³.

=====

Entry 5:
The following is a GGA-PBE calculation of an optimized crystal structure of TlInFe2, from the Alexandria database.

```
TlInFe2
1.0
-2.793 -3.489 0.995
-4.494 0.364 -0.800
-1.929 -2.422 -3.373
Fe In Tl
2 1 1
Direct
0.750 0.750 0.750 Fe
0.250 0.250 0.250 Fe
0.000 0.000 0.000 In
0.500 0.500 0.500 Tl
```

The spin magnetization is 1.137 μB per atom. For the volume, the calculation gives 16.970 Å³/atom. The calculation puts the energy of formation at 2.19 eV/f.u. As for the space group: Fm-3m. The calculation puts the total DFT energy (no corrections) at -4.959 eV/atom. Its density is 10.541 g cm⁻³.

=====

Entry 6:
The following is a GGA-PBE calculation of an optimized crystal structure of TlInFe2, from the Alexandria database.

```
TlInFe2
1.0
-3.528 -2.616 -1.524
-1.085 -3.950 2.200
-3.925 -0.279 2.476
In Tl Fe
1 1 2
Direct
0.500 0.500 0.500 In
0.750 0.750 0.750 Tl
0.250 0.250 0.250 Fe
0.000 0.000 0.000 Fe
```

The spin magnetization is 1.268 μB per atom. For the volume, the calculation gives 17.764 Å³/atom. The calculation puts the energy of formation at 2.65 eV/f.u. As for the space group: F-43m. The calculation puts the total DFT energy (no corrections) at -4.844 eV/atom. Its density is 10.070 g cm⁻³.

=====

Entry 7:
The following is a GGA-PBE calculation of an optimized crystal structure of TlZn2InFe, from the Alexandria database.

```
TlZn2InFe
1.0
5.114 0.000 0.000
0.000 5.157 0.000
0.000 0.000 5.114
Zn Tl In Fe
2 1 1 1
Direct
0.000 0.000 0.500 Zn
0.500 0.000 0.000 Zn
0.000 0.000 0.000 Tl
0.500 0.500 0.500 In
0.000 0.500 0.000 Fe
```

The spin magnetization is 0.576 μB per atom. For the volume, the calculation gives 26.977 Å³/atom. The calculation puts the energy of formation at 4.42 eV/f.u. As for the space group: P4/mmm. The calculation puts the total DFT energy (no corrections) at -2.339 eV/atom. Its density is 6.228 g cm⁻³.

=====

Entry 8:
The following is a GGA-PBE calculation of an optimized crystal structure of Tm3InFe, from the Alexandria database.

```
Tm3InFe
1.0
-1.140 2.340 -4.351
2.007 -3.861 -2.603
-4.514 -2.307 -0.058
In Tm Fe
1 3 1
Direct
0.500 0.500 0.500 In
0.000 0.500 0.000 Tm
0.500 0.000 0.000 Tm
0.000 0.000 0.500 Tm
0.000 0.000 0.000 Fe
```

The spin magnetization is 0.000 μB per atom. For the volume, the calculation gives 26.067 Å³/atom. The calculation puts the energy of formation at -0.25 eV/f.u. As for the space group: Pm-3m. The calculation puts the total DFT energy (no corrections) at -4.972 eV/atom. Its density is 8.631 g cm⁻³.